DFT (PBE+U) results for a relaxed structure of HfFeF2.

Properties
Its density of states at the Fermi level is 0.35 states/eV/atom. For the volume, the calculation gives 60 Å³/cell. For the polymorph energy (0 for the lowest one), the calculation gives 0.0 meV per atom.

a b c (Å): 8.5377 8.5377 8.5377
angles (deg): 19.42 19.42 19.42
Closest atoms and distances in Å follow each position.
Sites, in units of the cell vectors:
Hf1 0.5000 0.5000 0.5000  6 F 2.29
Fe1 0.0000 0.0000 0.0000  2 F 2.61, 6 Fe 2.88
F1 0.8962 0.8962 0.8962  3 Hf 2.29
F2 0.1038 0.1038 0.1038  3 Hf 2.29